VASP calculation (PBE-GGA) on an optimized crystal structure of ScAl2Pd8.

```
ScAl2Pd8
1.0
6.870 -2.067 0.000
6.870 2.067 0.000
-2.311 0.000 5.988
Sc Al Pd
1 2 8
direct
0.000 0.000 0.000
0.283 0.283 0.343
0.717 0.717 0.657
0.107 0.107 0.471
0.179 0.179 0.933
0.345 0.345 0.780
0.459 0.459 0.273
0.541 0.541 0.727
0.655 0.655 0.220
0.821 0.821 0.067
0.893 0.893 0.529
```

Calculated values
The calculation puts the polymorph energy (0 for the lowest one) at 6.3 meV/atom. Its space group is C2/m, No. 12. The value obtained for the formation energy is -7.8 eV/f.u. The density of states at the Fermi level comes out at 5.13 states/eV/f.u.